Record 1
Here is a relaxed NbAg2Br6 crystal from the Alexandria database. Energies are from PBE.

abc: 6.3999 10.2892 10.2892
angles: 94.26 85.71 85.71
With the nearest neighbours (Å) after each atom.
Atoms (fractional coordinates):
1 Br 0.0453 0.5131 0.2571  2 Ag 2.51
2 Br 0.1177 0.8261 0.9576  2 Nb 2.65-2.71
3 Nb 0.7500 0.9327 0.0673  6 Br 2.47-2.71
4 Br 0.4547 0.7429 0.4869  2 Ag 2.51
5 Br 0.1202 0.0643 0.7124  1 Nb 2.47
6 Br 0.3798 0.2876 0.9357  1 Nb 2.47
7 Ag 0.7960 0.3905 0.3920  2 Br 2.51
8 Ag 0.7040 0.6080 0.6095  2 Br 2.51
9 Br 0.8823 0.1739 0.0424  2 Nb 2.65-2.71
10 Br 0.5453 0.2571 0.5131  2 Ag 2.51
11 Ag 0.2040 0.6095 0.6080  2 Br 2.51
12 Nb 0.2500 0.0673 0.9327  6 Br 2.47-2.71
13 Ag 0.2960 0.3920 0.3905  2 Br 2.51
14 Br 0.3823 0.0424 0.1739  2 Nb 2.65-2.71
15 Br 0.6177 0.9576 0.8261  2 Nb 2.65-2.71
16 Br 0.9547 0.4869 0.7429  2 Ag 2.51
17 Br 0.8798 0.9357 0.2876  1 Nb 2.47
18 Br 0.6202 0.7124 0.0643  1 Nb 2.47

Properties
- raw formation energy (eV/atom) = -0.572
- space-group type = C2/c
- excess energy over the best structure of this formula in the dataset (eV/atom) = 0.0105
- raw total energy (eV/atom) = -3.440
- D(E_F) (states/eV/cell) = 1.663
- volume (Å³/cell) = 671.6

Record 2
Here is a relaxed NbAg3Br crystal from the Alexandria database. Energies are from PBE.

abc: 5.1283 5.1283 5.1283
angles: 90.00 90.00 90.00
With the nearest neighbours (Å) after each atom.
Atoms (fractional coordinates):
1 Ag 0.0000 0.0000 0.5000  2 Br 2.56
2 Br 0.0000 0.0000 0.0000  6 Ag 2.56
3 Ag 0.0000 0.5000 0.0000  2 Br 2.56
4 Ag 0.5000 0.0000 0.0000  2 Br 2.56
5 Nb 0.5000 0.5000 0.5000  12 Ag 3.63

Properties
- raw formation energy (eV/atom) = 1.342
- space-group type = Pm-3m
- excess energy over the best structure of this formula in the dataset (eV/atom) = 0.0118
- raw total energy (eV/atom) = -2.718
- D(E_F) (states/eV/cell) = 3.664
- volume (Å³/cell) = 134.9

Record 3
Here is a relaxed NbAgBr2 crystal from the Alexandria database. Energies are from PBE.

abc: 11.3176 11.3176 11.3176
angles: 16.63 16.63 16.63
With the nearest neighbours (Å) after each atom.
Atoms (fractional coordinates):
1 Ag 0.0000 0.0000 0.0000  6 Ag 3.27
2 Nb 0.5000 0.5000 0.5000  6 Br 2.69
3 Br 0.8903 0.8903 0.8903  3 Nb 2.69
4 Br 0.1097 0.1097 0.1097  3 Nb 2.69

Properties
- raw formation energy (eV/atom) = -0.201
- space-group type = R-3m
- excess energy over the best structure of this formula in the dataset (eV/atom) = 0.0000
- raw total energy (eV/atom) = -4.268
- D(E_F) (states/eV/cell) = 1.816
- volume (Å³/cell) = 103.5

Record 4
Here is a relaxed NbAgBr6 crystal from the Alexandria database. Energies are from PBE.

abc: 6.7895 6.7931 7.2986
angles: 62.18 62.23 60.05
With the nearest neighbours (Å) after each atom.
Atoms (fractional coordinates):
1 Br 0.0728 0.3910 0.7618  1 Nb 2.55
2 Br 0.3904 0.7750 0.7624  1 Nb 2.55
3 Br 0.6096 0.2250 0.2376  1 Nb 2.55
4 Br 0.9272 0.6090 0.2382  1 Nb 2.55
5 Ag 0.5000 0.5000 0.5000  6 Br 2.88-2.89
6 Br 0.7747 0.0725 0.7623  1 Nb 2.55
7 Br 0.2253 0.9275 0.2377  1 Nb 2.55
8 Nb 0.0000 0.0000 0.0000  6 Br 2.55

Properties
- raw formation energy (eV/atom) = -0.680
- space-group type = P-1
- excess energy over the best structure of this formula in the dataset (eV/atom) = 0.0000
- raw total energy (eV/atom) = -3.550
- volume (Å³/cell) = 245.8

Record 5
Here is a relaxed NbAgBr6 crystal from the Alexandria database. Energies are from PBE.

abc: 6.7776 7.9057 7.1476
angles: 106.40 99.11 124.83
With the nearest neighbours (Å) after each atom.
Atoms (fractional coordinates):
1 Br 0.1587 0.4269 0.2946  1 Nb 2.57, 1 Ag 2.85
2 Br 0.5458 0.2661 0.0000  1 Nb 2.53
3 Br 0.8413 0.5731 0.7054  1 Nb 2.57, 1 Ag 2.85
4 Ag 0.0000 0.0000 0.0000  6 Br 2.85-3.04
5 Br 0.1359 0.8677 0.2946  1 Nb 2.57, 1 Ag 2.85
6 Br 0.8641 0.1323 0.7054  1 Nb 2.57, 1 Ag 2.85
7 Br 0.4542 0.7339 0.0000  1 Nb 2.53
8 Nb 0.0000 0.5000 0.0000  6 Br 2.53-2.57

Properties
- raw formation energy (eV/atom) = -0.665
- space-group type = C2/m
- excess energy over the best structure of this formula in the dataset (eV/atom) = 0.0154
- raw total energy (eV/atom) = -3.535
- volume (Å³/cell) = 275.7

Record 6
Here is a relaxed NbAgBr2 crystal from the Alexandria database. Energies are from PBE.

abc: 4.8405 4.8405 4.8405
angles: 60.00 60.00 60.00
With the nearest neighbours (Å) after each atom.
Atoms (fractional coordinates):
1 Ag 0.5000 0.5000 0.5000  8 Br 2.96
2 Br 0.2500 0.2500 0.2500  4 Nb 2.96, 4 Ag 2.96
3 Nb 0.0000 0.0000 0.0000  8 Br 2.96
4 Br 0.7500 0.7500 0.7500  4 Nb 2.96, 4 Ag 2.96

Properties
- raw formation energy (eV/atom) = 0.416
- space-group type = Fm-3m
- excess energy over the best structure of this formula in the dataset (eV/atom) = 0.6170
- raw total energy (eV/atom) = -3.651
- D(E_F) (states/eV/cell) = 3.145
- volume (Å³/cell) = 80.2

Record 7
Here is a relaxed NbAg3Br crystal from the Alexandria database. Energies are from PBE.

abc: 5.2922 5.2922 5.2922
angles: 90.00 90.00 90.00
With the nearest neighbours (Å) after each atom.
Atoms (fractional coordinates):
1 Nb 0.0000 0.0000 0.0000  6 Ag 2.65
2 Br 0.5000 0.5000 0.5000  12 Ag 3.74
3 Ag 0.0000 0.5000 0.0000  2 Nb 2.65
4 Ag 0.0000 0.0000 0.5000  2 Nb 2.65
5 Ag 0.5000 0.0000 0.0000  2 Nb 2.65

Properties
- raw formation energy (eV/atom) = 1.330
- space-group type = Pm-3m
- excess energy over the best structure of this formula in the dataset (eV/atom) = 0.0000
- raw total energy (eV/atom) = -2.729
- D(E_F) (states/eV/cell) = 4.666
- volume (Å³/cell) = 148.2

Record 8
Here is a relaxed Nb3AgBr crystal from the Alexandria database. Energies are from PBE.

abc: 5.0100 5.0100 5.0100
angles: 90.00 90.00 90.00
With the nearest neighbours (Å) after each atom.
Atoms (fractional coordinates):
1 Ag 0.0000 0.0000 0.0000  6 Nb 2.51
2 Nb 0.5000 0.0000 0.0000  2 Ag 2.51
3 Nb 0.0000 0.5000 0.0000  2 Ag 2.51
4 Nb 0.0000 0.0000 0.5000  2 Ag 2.51
5 Br 0.5000 0.5000 0.5000  12 Nb 3.54

Properties
- raw formation energy (eV/atom) = 1.852
- space-group type = Pm-3m
- excess energy over the best structure of this formula in the dataset (eV/atom) = 0.6426
- raw total energy (eV/atom) = -5.095
- D(E_F) (states/eV/cell) = 5.529
- volume (Å³/cell) = 125.8

Record 9
Here is a relaxed Nb3AgBr crystal from the Alexandria database. Energies are from PBE.

abc: 4.7562 4.7562 4.7562
angles: 90.00 90.00 90.00
With the nearest neighbours (Å) after each atom.
Atoms (fractional coordinates):
1 Nb 0.5000 0.0000 0.0000  2 Br 2.38
2 Nb 0.0000 0.0000 0.5000  2 Br 2.38
3 Ag 0.5000 0.5000 0.5000  12 Nb 3.36
4 Br 0.0000 0.0000 0.0000  6 Nb 2.38
5 Nb 0.0000 0.5000 0.0000  2 Br 2.38

Properties
- raw formation energy (eV/atom) = 1.209
- space-group type = Pm-3m
- excess energy over the best structure of this formula in the dataset (eV/atom) = 0.0000
- raw total energy (eV/atom) = -5.738
- D(E_F) (states/eV/cell) = 10.472
- volume (Å³/cell) = 107.6

Record 10
Here is a relaxed NbAg2Br6 crystal from the Alexandria database. Energies are from PBE.

abc: 7.0219 7.0219 7.4263
angles: 61.79 61.79 60.00
With the nearest neighbours (Å) after each atom.
Atoms (fractional coordinates):
1 Br 0.6322 0.2345 0.2420  1 Nb 2.60, 1 Ag 2.77
2 Ag 0.2018 0.2018 0.3945  6 Br 2.77-3.10
3 Br 0.2345 0.8913 0.2420  1 Nb 2.60, 1 Ag 2.77
4 Nb 0.0000 0.0000 0.0000  6 Br 2.60
5 Ag 0.7982 0.7982 0.6055  6 Br 2.77-3.10
6 Br 0.1087 0.3678 0.7580  1 Nb 2.60, 1 Ag 2.77
7 Br 0.8913 0.6322 0.2420  1 Nb 2.60, 1 Ag 2.77
8 Br 0.7655 0.1087 0.7580  1 Nb 2.60, 1 Ag 2.77
9 Br 0.3678 0.7655 0.7580  1 Nb 2.60, 1 Ag 2.77

Properties
- raw formation energy (eV/atom) = -0.582
- space-group type = R-3
- excess energy over the best structure of this formula in the dataset (eV/atom) = 0.0000
- raw total energy (eV/atom) = -3.450
- D(E_F) (states/eV/cell) = 5.016
- volume (Å³/cell) = 265.7

Record 11
Here is a relaxed NbAgBr2 crystal from the Alexandria database. Energies are from PBE.

abc: 9.2940 9.2940 7.1505
angles: 49.47 49.47 90.00
With the nearest neighbours (Å) after each atom.
Atoms (fractional coordinates):
1 Br 0.8750 0.7312 0.7500  2 Nb 2.62
2 Ag 0.0000 0.0000 0.0000  2 Nb 2.82
3 Ag 0.7500 0.2500 0.5000  2 Nb 2.82
4 Nb 0.2500 0.7500 0.5000  4 Br 2.62, 2 Ag 2.82
5 Br 0.4812 0.1250 0.2500  2 Nb 2.62
6 Br 0.3750 0.5188 0.7500  2 Nb 2.62
7 Nb 0.5000 0.5000 0.0000  4 Br 2.62, 2 Ag 2.82
8 Br 0.2688 0.6250 0.2500  2 Nb 2.62

Properties
- raw formation energy (eV/atom) = 0.128
- space-group type = I-42d
- excess energy over the best structure of this formula in the dataset (eV/atom) = 0.3287
- raw total energy (eV/atom) = -3.939
- D(E_F) (states/eV/cell) = 3.015
- volume (Å³/cell) = 243.4

Record 12
Here is a relaxed Nb2Ag2Br2O5 crystal from the Alexandria database. Energies are from PBE.

abc: 3.8932 3.8932 13.6668
angles: 98.19 98.19 90.00
With the nearest neighbours (Å) after each atom.
Atoms (fractional coordinates):
1 Br 0.8109 0.8109 0.6218  4 Ag 2.78
2 Ag 0.6744 0.6744 0.3487  4 Br 2.78, 4 O 3.11
3 O 0.5840 0.0840 0.1680  2 Nb 1.98
4 Nb 0.0715 0.0715 0.1429  5 O 1.91-1.98
5 O 0.0000 0.0000 0.0000  2 Nb 1.91
6 O 0.4160 0.9160 0.8320  2 Nb 1.98
7 O 0.9160 0.4160 0.8320  2 Nb 1.98
8 Nb 0.9285 0.9285 0.8571  5 O 1.91-1.98
9 Ag 0.3256 0.3256 0.6513  4 Br 2.78, 4 O 3.11
10 O 0.0840 0.5840 0.1680  2 Nb 1.98
11 Br 0.1891 0.1891 0.3782  4 Ag 2.78

Properties
- raw formation energy (eV/atom) = -1.631
- space-group type = I4/mmm
- raw total energy (eV/atom) = -6.538
- D(E_F) (states/eV/cell) = 0.224
- volume (Å³/cell) = 202.9